Here is a relaxed NaCdFeF6 crystal from the Alexandria database. Energies are from PBE with a Hubbard U.

## Properties
The total energy is -79.81 eV per cell. As for the total magnetization: 5.96 μB/cell. For the density of states at the Fermi level, the calculation gives 0.00 states/eV/atom.

Geometry as CIF:
```
data_NaCdFeF6
_cell_length_a 5.071
_cell_length_b 5.071
_cell_length_c 9.885
_cell_angle_alpha 90.00
_cell_angle_beta 90.00
_cell_angle_gamma 90.00
_space_group_name_H-M_alt 'P 42 n m'
_space_group_IT_number 102
loop_
_space_group_symop_operation_xyz
'x,y,z'
'-y+1/2,x+1/2,z+1/2'
'-x,-y,z'
'y+1/2,-x+1/2,z+1/2'
'-x+1/2,y+1/2,z+1/2'
'y,x,z'
'x+1/2,-y+1/2,z+1/2'
'-y,-x,z'
loop_
_atom_site_label
_atom_site_type_symbol
_atom_site_fract_x
_atom_site_fract_y
_atom_site_fract_z
_atom_site_occupancy
Na1 Na 0.000 0.000 0.000 1
Cd1 Cd 0.000 0.000 0.327 1
Fe1 Fe 0.000 0.000 0.665 1
F1 F 0.177 0.177 0.521 1
F2 F 0.181 0.181 0.807 1
F3 F 0.219 0.219 0.168 1
```

=====

Here is a relaxed Cd2FePtF crystal from the Alexandria database. Energies are from PBE with a Hubbard U.

## Properties
The polymorph energy (0 for the lowest one) is 2.11 eV/f.u. The total energy is -14.53 eV per cell. As for the total magnetization: 3.90 μB/cell. For the density of states at the Fermi level, the calculation gives 0.40 states/eV/atom.

Geometry as CIF:
```
data_Cd2FePtF
_cell_length_a 5.324
_cell_length_b 5.324
_cell_length_c 4.195
_cell_angle_alpha 90.00
_cell_angle_beta 90.00
_cell_angle_gamma 90.00
_space_group_name_H-M_alt 'P 4/m m m'
_space_group_IT_number 123
_space_group_name_Hall '-P 4 2'
loop_
_atom_site_label
_atom_site_type_symbol
_atom_site_fract_x
_atom_site_fract_y
_atom_site_fract_z
_atom_site_occupancy
Cd1 Cd 0.000 0.500 0.000 1
Fe1 Fe 0.000 0.000 0.500 1
Pt1 Pt 0.500 0.500 0.000 1
F1 F 0.500 0.500 0.500 1
```

=====

Here is a relaxed CdFePtF6 crystal from the Alexandria database. Energies are from PBE with a Hubbard U.

## Properties
The total energy is -77.09 eV per cell. As for the total magnetization: 12.09 μB/cell. For the density of states at the Fermi level, the calculation gives 0.64 states/eV/atom.

Geometry as CIF:
```
data_CdFePtF6
_cell_length_a 5.7305
_cell_length_b 5.7305
_cell_length_c 9.2690
_cell_angle_alpha 90.00
_cell_angle_beta 90.00
_cell_angle_gamma 120.00
_space_group_name_H-M_alt 'P -3 1 c'
_space_group_IT_number 163
_space_group_name_Hall '-P 3 2c'
loop_
_atom_site_label
_atom_site_type_symbol
_atom_site_fract_x
_atom_site_fract_y
_atom_site_fract_z
_atom_site_occupancy
Cd1 Cd 0.3333 0.6667 0.2500 1
Fe1 Fe 0.3333 0.6667 0.7500 1
Pt1 Pt 0.0000 0.0000 0.0000 1
F1 F 0.0360 0.3788 0.6324 1
```

=====

Here is a relaxed Cd2FePtF crystal from the Alexandria database. Energies are from PBE with a Hubbard U.

## Properties
The polymorph energy (0 for the lowest one) is 0.00 eV/f.u. The total energy is -16.64 eV per cell. As for the total magnetization: 3.89 μB/cell. For the density of states at the Fermi level, the calculation gives 0.25 states/eV/atom.

Geometry as CIF:
```
data_Cd2FePtF
_cell_length_a 4.748
_cell_length_b 4.748
_cell_length_c 3.996
_cell_angle_alpha 90.00
_cell_angle_beta 90.00
_cell_angle_gamma 90.00
_space_group_name_H-M_alt 'P 4/m m m'
_space_group_IT_number 123
_space_group_name_Hall '-P 4 2'
loop_
_atom_site_label
_atom_site_type_symbol
_atom_site_fract_x
_atom_site_fract_y
_atom_site_fract_z
_atom_site_occupancy
Cd1 Cd 0.000 0.500 0.000 1
Fe1 Fe 0.000 0.000 0.500 1
Pt1 Pt 0.500 0.500 0.500 1
F1 F 0.000 0.000 0.000 1
```

=====

Here is a relaxed SrCdFeF6 crystal from the Alexandria database. Energies are from PBE with a Hubbard U.

## Properties
The total energy is -89.89 eV per cell. As for the total magnetization: 8.00 μB/cell. For the density of states at the Fermi level, the calculation gives 0.00 states/eV/atom.

Geometry as CIF:
```
data_SrCdFeF6
_cell_length_a 5.206
_cell_length_b 5.206
_cell_length_c 10.669
_cell_angle_alpha 90.00
_cell_angle_beta 90.00
_cell_angle_gamma 90.00
_space_group_name_H-M_alt 'P 42 n m'
_space_group_IT_number 102
loop_
_space_group_symop_operation_xyz
'x,y,z'
'-y+1/2,x+1/2,z+1/2'
'-x,-y,z'
'y+1/2,-x+1/2,z+1/2'
'-x+1/2,y+1/2,z+1/2'
'y,x,z'
'x+1/2,-y+1/2,z+1/2'
'-y,-x,z'
loop_
_atom_site_label
_atom_site_type_symbol
_atom_site_fract_x
_atom_site_fract_y
_atom_site_fract_z
_atom_site_occupancy
Sr1 Sr 0.000 0.000 0.000 1
Cd1 Cd 0.000 0.000 0.332 1
Fe1 Fe 0.000 0.000 0.666 1
F1 F 0.177 0.177 0.508 1
F2 F 0.196 0.196 0.817 1
F3 F 0.219 0.219 0.175 1
```

=====

Here is a relaxed Cd3FeTe2F6 crystal from the Alexandria database. Energies are from PBE with a Hubbard U.

## Properties
The total energy is -90.24 eV per cell. As for the total magnetization: 9.86 μB/cell. For the density of states at the Fermi level, the calculation gives 0.28 states/eV/atom.

Geometry as CIF:
```
data_Cd3FeTe2F6
_cell_length_a 12.466
_cell_length_b 6.484
_cell_length_c 5.850
_cell_angle_alpha 90.00
_cell_angle_beta 90.71
_cell_angle_gamma 90.00
_space_group_name_H-M_alt 'C 1 2/m 1'
_space_group_IT_number 12
loop_
_space_group_symop_operation_xyz
'x,y,z'
'-x,-y,-z'
'-x,y,-z'
'x,-y,z'
'x+1/2,y+1/2,z'
'-x+1/2,-y+1/2,-z'
'-x+1/2,y+1/2,-z'
'x+1/2,-y+1/2,z'
loop_
_atom_site_label
_atom_site_type_symbol
_atom_site_fract_x
_atom_site_fract_y
_atom_site_fract_z
_atom_site_occupancy
Cd1 Cd 0.000 0.000 0.000 1
Cd2 Cd 0.250 0.250 0.500 1
Fe1 Fe 0.000 0.500 0.500 1
Te1 Te 0.217 0.000 0.902 1
F1 F 0.067 0.279 0.319 1
F2 F 0.135 0.500 0.679 1
```

=====

Here is a relaxed TlCdFeF6 crystal from the Alexandria database. Energies are from PBE with a Hubbard U.

## Properties
The total energy is -81.00 eV per cell. As for the total magnetization: 9.96 μB/cell. For the density of states at the Fermi level, the calculation gives 0.00 states/eV/atom.

Geometry as CIF:
```
data_TlCdFeF6
_cell_length_a 5.8023
_cell_length_b 5.8023
_cell_length_c 11.2231
_cell_angle_alpha 90.00
_cell_angle_beta 90.00
_cell_angle_gamma 120.00
_space_group_name_H-M_alt 'P -3 1 c'
_space_group_IT_number 163
_space_group_name_Hall '-P 3 2c'
loop_
_atom_site_label
_atom_site_type_symbol
_atom_site_fract_x
_atom_site_fract_y
_atom_site_fract_z
_atom_site_occupancy
Tl1 Tl 0.0000 0.0000 0.0000 1
Cd1 Cd 0.3333 0.6667 0.2500 1
Fe1 Fe 0.3333 0.6667 0.7500 1
F1 F 0.0387 0.4011 0.6515 1
```

=====

Here is a relaxed VCdFeF6 crystal from the Alexandria database. Energies are from PBE with a Hubbard U.

## Properties
The total energy is -91.92 eV per cell. As for the total magnetization: 14.03 μB/cell. For the density of states at the Fermi level, the calculation gives 0.77 states/eV/atom.

Geometry as CIF:
```
data_VCdFeF6
_cell_length_a 5.4856
_cell_length_b 5.4856
_cell_length_c 9.5990
_cell_angle_alpha 90.00
_cell_angle_beta 90.00
_cell_angle_gamma 120.00
_space_group_name_H-M_alt 'P -3 1 c'
_space_group_IT_number 163
_space_group_name_Hall '-P 3 2c'
loop_
_atom_site_label
_atom_site_type_symbol
_atom_site_fract_x
_atom_site_fract_y
_atom_site_fract_z
_atom_site_occupancy
V1 V 0.3333 0.6667 0.2500 1
Cd1 Cd 0.0000 0.0000 0.0000 1
Fe1 Fe 0.3333 0.6667 0.7500 1
F1 F 0.0037 0.3474 0.6345 1
```